This record from Alexandria via LeMat-Bulk describes crystalline Cu2ReSe at its relaxed geometry. The functional is PBE.

abc: 2.6338 3.9955 5.6621
angles: 90.00 91.18 90.00
Positions (direct):
Cu 0.0161 0.0000 0.2219
Cu 0.9839 0.0000 0.7781
Re 0.5000 0.5000 0.0000
Se 0.5000 0.5000 0.5000

Computed properties:
E: -5.481 eV per atom
ΔE_f (raw): 0.550 eV/atom
Fermi-level density of states: 0.7955 states/eV per atom

This record from Alexandria via LeMat-Bulk describes crystalline LiMg3Ag2 at its relaxed geometry. The functional is PBE.

abc: 3.4270 3.4270 9.6201
angles: 90.00 90.00 90.00
Positions (direct):
Li 0.0000 0.0000 0.0000
Mg 0.5000 0.5000 0.1724
Mg 0.5000 0.5000 0.5000
Mg 0.5000 0.5000 0.8276
Ag 0.0000 0.0000 0.3326
Ag 0.0000 0.0000 0.6674

Computed properties:
E: -2.258 eV per atom
Fermi-level density of states: 0.3698 states/eV per atom

This record from Alexandria via LeMat-Bulk describes crystalline In12As5Br3 at its relaxed geometry. The functional is PBE.

abc: 15.1790 15.1790 15.1790
angles: 109.47 109.47 109.47
Positions (direct):
In 0.0504 0.2200 0.1421
In 0.0504 0.3304 0.9083
In 0.0779 0.7200 0.6696
In 0.0779 0.8579 0.4083
In 0.0917 0.6421 0.4221
In 0.0917 0.9496 0.6696
In 0.1421 0.0504 0.2200
In 0.1421 0.5917 0.9221
In 0.1696 0.2200 0.5779
In 0.1696 0.4496 0.5917
In 0.2200 0.1421 0.0504
In 0.2200 0.5779 0.1696
In 0.2800 0.3304 0.9221
In 0.2800 0.4496 0.3579
In 0.3304 0.9083 0.0504
In 0.3304 0.9221 0.2800
In 0.3579 0.2800 0.4496
In 0.3579 0.5779 0.9083
In 0.4083 0.0779 0.8579
In 0.4083 0.8304 0.5504
In 0.4221 0.0917 0.6421
In 0.4221 0.8304 0.7800
In 0.4496 0.3579 0.2800
In 0.4496 0.5917 0.1696
In 0.5504 0.4083 0.8304
In 0.5504 0.6421 0.7200
In 0.5779 0.1696 0.2200
In 0.5779 0.9083 0.3579
In 0.5917 0.1696 0.4496
In 0.5917 0.9221 0.1421
In 0.6421 0.4221 0.0917
In 0.6421 0.7200 0.5504
In 0.6696 0.0779 0.7200
In 0.6696 0.0917 0.9496
In 0.7200 0.5504 0.6421
In 0.7200 0.6696 0.0779
In 0.7800 0.4221 0.8304
In 0.7800 0.8579 0.9496
In 0.8304 0.5504 0.4083
In 0.8304 0.7800 0.4221
In 0.8579 0.4083 0.0779
In 0.8579 0.9496 0.7800
In 0.9083 0.0504 0.3304
In 0.9083 0.3579 0.5779
In 0.9221 0.1421 0.5917
In 0.9221 0.2800 0.3304
In 0.9496 0.6696 0.0917
In 0.9496 0.7800 0.8579
As 0.0000 0.0000 0.0000
As 0.0000 0.0000 0.5000
As 0.0000 0.5000 0.0000
As 0.0000 0.5000 0.5000
As 0.1250 0.7500 0.8750
As 0.1250 0.8750 0.2500
As 0.2500 0.1250 0.8750
As 0.2500 0.6250 0.3750
As 0.3750 0.2500 0.6250
As 0.3750 0.6250 0.7500
As 0.5000 0.0000 0.0000
As 0.5000 0.0000 0.5000
As 0.5000 0.5000 0.0000
As 0.5000 0.5000 0.5000
As 0.6250 0.3750 0.2500
As 0.6250 0.7500 0.3750
As 0.7500 0.3750 0.6250
As 0.7500 0.8750 0.1250
As 0.8750 0.1250 0.7500
As 0.8750 0.2500 0.1250
Br 0.1250 0.2500 0.3750
Br 0.1250 0.3750 0.7500
Br 0.2500 0.3750 0.1250
Br 0.2500 0.8750 0.6250
Br 0.3750 0.1250 0.2500
Br 0.3750 0.7500 0.1250
Br 0.6250 0.2500 0.8750
Br 0.6250 0.8750 0.7500
Br 0.7500 0.1250 0.3750
Br 0.7500 0.6250 0.8750
Br 0.8750 0.6250 0.2500
Br 0.8750 0.7500 0.6250

Computed properties:
E: -3.047 eV per atom
ΔE_f (raw): 0.009 eV/atom
Fermi-level density of states: 0.4254 states/eV per atom

This record from Alexandria via LeMat-Bulk describes crystalline BiH3Rh at its relaxed geometry. The functional is PBE.

abc: 3.7309 3.7309 3.7309
angles: 90.00 90.00 90.00
Positions (direct):
Bi 0.0000 0.0000 0.0000
H 0.0000 0.5000 0.5000
H 0.5000 0.0000 0.5000
H 0.5000 0.5000 0.0000
Rh 0.5000 0.5000 0.5000

Computed properties:
E: -4.075 eV per atom
Fermi-level density of states: 0.2025 states/eV per atom

Which of these has the lowest Fermi-level density of states? BiH3Rh

Which formula does entry 2 have? LiMg3Ag2